1.
SrAsPd2C | PBE-GGA | optimized geometry

Energy of formation = 1.884 eV per atom
M_tot = 0.77 μB/cell

abc: 5.2081 4.5856 5.2081
angles: 90.00 90.00 90.00
Site moments in Bohr magnetons follow the coordinates.
Element x y z (fractional)
Sr (0.0000, 0.0000, 0.0000)  0.04
As (0.5000, 0.5000, 0.5000)  -0.18
C (0.0000, 0.5000, 0.0000)  0.55
Pd (0.0000, 0.0000, 0.5000)  0.04
Pd (0.5000, 0.0000, 0.0000)  0.00



2.
In2P | PBE-GGA | optimized geometry

Energy of formation = 0.195 eV per atom
M_tot = 0.00 μB/cell
Distance to the lowest polymorph of the same formula = 0.229 eV per atom

abc: 4.9752 4.9752 6.5138
angles: 90.00 90.00 120.00
Element x y z (fractional)
In (0.0000, 0.0000, 0.0000)
In (0.0000, 0.0000, 0.5000)
In (0.3333, 0.6667, 0.2500)
In (0.6667, 0.3333, 0.7500)
P (0.6667, 0.3333, 0.2500)
P (0.3333, 0.6667, 0.7500)



3.
YZr2H2 | PBE-GGA | optimized geometry

M_tot = 0.00 μB/cell
Distance to the lowest polymorph of the same formula = 0.000 eV per atom

abc: 3.9261 3.9261 6.1891
angles: 71.51 71.51 90.00
Element x y z (fractional)
Y (0.0000, 0.0000, 0.0000)
H (0.7500, 0.2500, 0.5000)
H (0.2500, 0.7500, 0.5000)
Zr (0.3096, 0.3096, 0.3808)
Zr (0.6904, 0.6904, 0.6192)



4.
La2Pr2DyY4 | PBE-GGA | optimized geometry

Energy of formation = 0.004 eV per atom
M_tot = 0.00 μB/cell

abc: 3.6764 9.6914 9.7596
angles: 115.22 90.00 100.93
Element x y z (fractional)
La (0.3354, 0.6707, 0.9999)
La (0.6646, 0.3293, 0.0001)
Pr (0.8527, 0.7054, 0.3362)
Pr (0.1473, 0.2946, 0.6638)
Dy (0.0000, 0.0000, 0.0000)
Y (0.8152, 0.6304, 0.6638)
Y (0.1848, 0.3696, 0.3362)
Y (0.5201, 0.0402, 0.3316)
Y (0.4799, 0.9598, 0.6684)



5.
Rb2TcF7 | PBE-GGA | optimized geometry

M_tot = 2.00 μB/cell
Raw formation energy = -2.24 eV per atom
Distance to the lowest polymorph of the same formula = 0.198 eV per atom

abc: 6.5383 6.5383 6.5384
angles: 60.00 60.00 90.00
Site moments in Bohr magnetons follow the coordinates.
Element x y z (fractional)
Tc (0.0000, 0.0000, 0.0000)  1.99
Rb (0.7500, 0.2500, 0.5000)  0.00
Rb (0.2500, 0.7500, 0.5000)  0.00
F (0.5000, 0.5000, 0.0000)  -0.42
F (0.2088, 0.2088, 0.5824)  0.06
F (0.7912, 0.7912, 0.4176)  0.06
F (0.2088, 0.2088, 0.0000)  0.06
F (0.7912, 0.7912, 0.0000)  0.06
F (0.7912, 0.2088, 0.0000)  0.06
F (0.2088, 0.7912, 0.0000)  0.06



6.
RbSn3I8 | PBE-GGA | optimized geometry

M_tot = 0.00 μB/cell
Raw formation energy = -0.58 eV per atom

abc: 9.5350 9.4679 8.8904
angles: 120.48 90.00 120.23
Element x y z (fractional)
Rb (0.0000, 0.0000, 0.0000)
Sn (0.5000, 0.0000, 0.0000)
Sn (0.5000, 0.5000, 0.0000)
Sn (0.0000, 0.5000, 0.0000)
I (0.2577, 0.5155, 0.7545)
I (0.7423, 0.4845, 0.2455)
I (0.2902, 0.0175, 0.7496)
I (0.7273, 0.0175, 0.7496)
I (0.7353, 0.4705, 0.7493)
I (0.2647, 0.5295, 0.2507)
I (0.2727, 0.9825, 0.2504)
I (0.7098, 0.9825, 0.2504)



| no. | DFT total energy (eV per atom) |
| --- | --- |
| 1 | -3.304 |
| 2 | -3.434 |
| 3 | -6.266 |
| 4 | -5.538 |
| 5 | -4.782 |
| 6 | -2.695 |